# 1
Below is a geometry-optimized La5Cd2Ir structure, with properties calculated at the PBE-GGA level.

Unit cell a=8.3437 b=12.2989 c=4.9868 alpha=90.00 beta=90.00 gamma=90.00
Atoms (fractional coordinates):
La 0.0000 0.0000 0.0000
La 0.1407 0.2990 0.0000
La 0.1812 0.5717 0.5000
La 0.3188 0.0717 0.5000
La 0.3593 0.7990 0.0000
La 0.5000 0.5000 0.0000
La 0.6407 0.2010 0.0000
La 0.6812 0.9283 0.5000
La 0.8188 0.4283 0.5000
La 0.8593 0.7010 0.0000
Cd 0.0734 0.8350 0.5000
Cd 0.4266 0.3350 0.5000
Cd 0.5734 0.6650 0.5000
Cd 0.9266 0.1650 0.5000
Ir 0.0000 0.5000 0.0000
Ir 0.5000 0.0000 0.0000

Summary:
ΔE_f in eV/atom: -0.3809
D(E_F) in states/eV/cell: 22.0

# 2
Below is a geometry-optimized Li4ZrSe4 structure, with properties calculated at the PBE-GGA level.

Unit cell a=7.3338 b=7.3338 c=7.3338 alpha=129.29 beta=129.29 gamma=74.54
Atoms (fractional coordinates):
Li 0.0000 0.5000 0.5000
Li 0.2231 0.2231 0.0000
Li 0.5000 0.0000 0.5000
Li 0.7769 0.7769 0.0000
Zr 0.5000 0.5000 0.0000
Se 0.1434 0.6073 0.0000
Se 0.3927 0.3927 0.5361
Se 0.6073 0.1434 0.0000
Se 0.8566 0.8566 0.4639

Summary:
D(E_F) in states/eV/cell: 0.0
Formation energy from raw total energies in eV/atom: -1.22

# 3
Below is a geometry-optimized CrOs2W structure, with properties calculated at the PBE-GGA level.

Unit cell a=2.7331 b=2.7331 c=26.5874 alpha=90.00 beta=90.00 gamma=120.00
Atoms (fractional coordinates):
Cr 0.0000 0.0000 0.0000
Cr 0.3333 0.6667 0.6667
Cr 0.6667 0.3333 0.3333
Os 0.0000 0.0000 0.2546
Os 0.0000 0.0000 0.7454
Os 0.3333 0.6667 0.4120
Os 0.3333 0.6667 0.9213
Os 0.6667 0.3333 0.0787
Os 0.6667 0.3333 0.5880
W 0.0000 0.0000 0.5000
W 0.3333 0.6667 0.1667
W 0.6667 0.3333 0.8333

Summary:
ΔE_f in eV/atom: 0.1805
E above lowest polymorph in meV/atom: 89
D(E_F) in states/eV/cell: 13.0

# 4
Below is a geometry-optimized Cs2PuI8 structure, with properties calculated at the PBE-GGA level.

Unit cell a=10.4180 b=10.4180 c=6.5851 alpha=100.43 beta=100.43 gamma=75.46
Atoms (fractional coordinates):
Cs 0.2163 0.2163 0.0998
Cs 0.7837 0.7837 0.9002
Pu 0.5000 0.5000 0.0000
I 0.0034 0.0034 0.2585
I 0.2575 0.5915 0.2078
I 0.3405 0.3405 0.6709
I 0.4085 0.7425 0.7922
I 0.5915 0.2575 0.2078
I 0.6595 0.6595 0.3291
I 0.7425 0.4085 0.7922
I 0.9966 0.9966 0.7415

Summary:
D(E_F) in states/eV/cell: 11.8
Formation energy from raw total energies in eV/atom: -0.90